# MgZr2MnPt, optimized geometry, DFT GGA-PBEsol
# * electronic total energy: -7.036 eV/atom
# * crystal system: tetragonal
# * formation energy from the elements: 0.288 eV per atom
data_MgZr2MnPt
_cell_length_a 4.562
_cell_length_b 4.562
_cell_length_c 4.709
_cell_angle_alpha 90.00
_cell_angle_beta 90.00
_cell_angle_gamma 90.00
_symmetry_space_group_name_H-M 'P 4/m m m'
_symmetry_Int_Tables_number 123
_symmetry_space_group_name_Hall '-P 4 2'
loop_
_atom_site_label
_atom_site_type_symbol
_atom_site_fract_x
_atom_site_fract_y
_atom_site_fract_z
Mg1 Mg 0.000 0.000 0.000
Zr1 Zr 0.000 0.500 0.500
Mn1 Mn 0.000 0.000 0.500
Pt1 Pt 0.500 0.500 0.000